Material: CrGeO3
Method: DFT, PBE+U
State: optimized geometry

ρ	5.659	g cm⁻³
VASP energy	-32.30	eV/f.u.
crystal system	cubic

Cell lengths 3.700, 3.700, 3.700 Å; angles 90.00, 90.00, 90.00 degrees
Element x y z (fractional)
Cr1 0.000 0.000 0.000
Ge1 0.500 0.500 0.500
O1 0.000 0.500 0.500
O2 0.500 0.000 0.500
O3 0.500 0.500 0.000